Entry 1:
Entry from Alexandria: a geometry-optimized ReAs structure (PBEsol).

Cell lengths 3.089, 4.613, 4.675 Å; angles 107.41, 90.00, 109.56 degrees
Element x y z (fractional)
Re  0.868  0.737  0.703
As  0.387  0.775  0.171
Re  0.132  0.263  0.297
As  0.613  0.225  0.829

Values from the calculation:
**Uncorrected energy**: -9.04 eV per atom
**Magnetization**: 0.0 μB per cell
**Distance to the lowest polymorph of the same formula**: 0.122 eV/atom
**Space group**: No. 12
**N(E_F)**: 2.3 states/eV per cell
**DFT formation energy**: 0.175 eV/atom

Entry 2:
Entry from Alexandria: a geometry-optimized Zr2BeSb structure (PBEsol).

Cell lengths 3.284, 3.284, 7.350 Å; angles 90.00, 90.00, 102.97 degrees
Element x y z (fractional)
Sb  0.500  0.500  0.291
Be  0.000  0.000  0.490
Zr  0.000  0.000  0.014
Zr  0.500  0.500  0.705

Values from the calculation:
**Formation energy (no corrections)**: -4 kJ/mol of atoms
**Uncorrected energy**: -6.73 eV per atom
**Magnetization**: 0.0 μB per cell
**Distance to the lowest polymorph of the same formula**: 0.467 eV/atom
**Space group**: No. 35
**N(E_F)**: 4.0 states/eV per cell

Entry 3:
Entry from Alexandria: a geometry-optimized FeSiTc2 structure (PBEsol).

Cell lengths 2.758, 3.754, 4.876 Å; angles 90.00, 89.97, 90.00 degrees
Element x y z (fractional)
Si  0.500  0.500  0.500
Tc  0.000  0.000  0.750
Tc  0.000  0.000  0.250
Fe  0.500  0.500  0.000

Values from the calculation:
**Formation energy (no corrections)**: -10 kJ/mol of atoms
**Uncorrected energy**: -9.41 eV per atom
**Magnetization**: 1.0 μB per cell
**Space group**: No. 47
**N(E_F)**: 3.4 states/eV per cell

Entry 4:
Entry from Alexandria: a geometry-optimized BaLi2Ni2 structure (PBEsol).

Cell lengths 4.218, 4.218, 6.094 Å; angles 110.25, 110.25, 90.00 degrees
Element x y z (fractional)
Ni  0.606  0.606  0.213
Ni  0.394  0.394  0.787
Li  0.250  0.750  0.500
Ba  0.000  0.000  0.000
Li  0.750  0.250  0.500

Values from the calculation:
**Uncorrected energy**: -3.51 eV per atom
**Magnetization**: 0.0 μB per cell
**Space group**: No. 139
**N(E_F)**: 1.7 states/eV per cell
**DFT formation energy**: 0.169 eV/atom

Entry 5:
Entry from Alexandria: a geometry-optimized CsNb3N structure (PBEsol).

Cell lengths 4.945, 4.945, 4.945 Å; angles 90.00, 90.00, 90.00 degrees
Element x y z (fractional)
Nb  0.500  0.000  0.000
N  0.500  0.500  0.500
Cs  0.000  0.000  0.000
Nb  0.000  0.500  0.000
Nb  0.000  0.000  0.500

Values from the calculation:
**Formation energy (no corrections)**: 361 kJ/mol of atoms
**Uncorrected energy**: -4.65 eV per atom
**Magnetization**: 0.0 μB per cell
**Space group**: No. 221
**N(E_F)**: 2.0 states/eV per cell

Entry 6:
Entry from Alexandria: a geometry-optimized ZnAu2I structure (PBEsol).

Cell lengths 4.846, 4.846, 4.846 Å; angles 60.00, 60.00, 60.00 degrees
Element x y z (fractional)
I  0.500  0.500  0.500
Au  0.250  0.250  0.250
Zn  0.000  0.000  0.000
Au  0.750  0.750  0.750

Values from the calculation:
**Formation energy (no corrections)**: 46 kJ/mol of atoms
**Uncorrected energy**: -2.32 eV per atom
**Magnetization**: 0.0 μB per cell
**Space group**: No. 225
**N(E_F)**: 2.9 states/eV per cell

Entry 7:
Entry from Alexandria: a geometry-optimized SmSi2 structure (PBEsol).

Cell lengths 4.016, 4.016, 7.756 Å; angles 105.07, 105.07, 89.94 degrees
Element x y z (fractional)
Sm  0.000  0.000  0.000
Si  0.583  0.583  0.166
Si  0.667  0.167  0.334
Si  0.417  0.417  0.834
Si  0.833  0.333  0.666
Sm  0.250  0.750  0.500

Values from the calculation:
**Formation energy (no corrections)**: -64 kJ/mol of atoms
**Uncorrected energy**: -6.19 eV per atom
**Magnetization**: 0.0 μB per cell
**Space group**: No. 141
**N(E_F)**: 2.6 states/eV per cell

Entry 8:
Entry from Alexandria: a geometry-optimized Si2NiHg structure (PBEsol).

Cell lengths 3.695, 3.695, 5.243 Å; angles 110.49, 110.49, 90.38 degrees
Element x y z (fractional)
Si  0.000  0.500  0.500
Hg  0.500  0.500  0.000
Si  0.500  0.000  0.500
Ni  0.000  0.000  0.000

Values from the calculation:
**Formation energy (no corrections)**: 29 kJ/mol of atoms
**Uncorrected energy**: -4.25 eV per atom
**Magnetization**: 0.0 μB per cell
**Space group**: No. 69
**N(E_F)**: 2.1 states/eV per cell

Entry 9:
Entry from Alexandria: a geometry-optimized Mg3BiOs structure (PBEsol).

Cell lengths 4.967, 4.967, 4.967 Å; angles 90.00, 90.00, 90.00 degrees
Element x y z (fractional)
Bi  0.500  0.500  0.500
Mg  0.000  0.500  0.000
Mg  0.000  0.000  0.500
Mg  0.500  0.000  0.000
Os  0.000  0.000  0.000

Values from the calculation:
**Uncorrected energy**: -3.78 eV per atom
**Magnetization**: 0.0 μB per cell
**Space group**: No. 221
**N(E_F)**: 3.7 states/eV per cell
**DFT formation energy**: 0.552 eV/atom

Entry 10:
Entry from Alexandria: a geometry-optimized Li4C structure (PBEsol).

Cell lengths 2.784, 2.784, 11.054 Å; angles 90.00, 90.00, 120.00 degrees
Element x y z (fractional)
Li  0.333  0.667  0.386
Li  0.667  0.333  0.877
Li  0.333  0.667  0.123
C  0.000  0.000  0.000
Li  0.667  0.333  0.614

Values from the calculation:
**Uncorrected energy**: -2.85 eV per atom
**Magnetization**: 0.0 μB per cell
**Distance to the lowest polymorph of the same formula**: 0.287 eV/atom
**Space group**: No. 164
**N(E_F)**: 2.1 states/eV per cell
**DFT formation energy**: 0.650 eV/atom

Entry 11:
Entry from Alexandria: a geometry-optimized SrAgHg structure (PBEsol).

Cell lengths 3.813, 3.813, 5.815 Å; angles 109.14, 109.14, 90.00 degrees
Element x y z (fractional)
Ag  0.980  0.980  0.959
Hg  0.352  0.352  0.705
Sr  0.668  0.668  0.336

Values from the calculation:
**Uncorrected energy**: -2.24 eV per atom
**Magnetization**: 0.0 μB per cell
**Space group**: No. 107
**N(E_F)**: 1.2 states/eV per cell
**DFT formation energy**: -0.332 eV/atom

Entry 12:
Entry from Alexandria: a geometry-optimized ScHg2I structure (PBEsol).

Cell lengths 5.249, 5.249, 5.249 Å; angles 60.00, 60.00, 60.00 degrees
Element x y z (fractional)
Hg  0.750  0.750  0.750
Hg  0.250  0.250  0.250
I  0.500  0.500  0.500
Sc  0.000  0.000  0.000

Values from the calculation:
**Formation energy (no corrections)**: 8 kJ/mol of atoms
**Uncorrected energy**: -2.29 eV per atom
**Magnetization**: 0.0 μB per cell
**Space group**: No. 225
**N(E_F)**: 3.9 states/eV per cell